Entry 1:
Ac8La3Ho | PBE-GGA | relaxed

## Properties
Spin magnetization   0.0 μB/cell
ΔE_f   0.561 eV per atom

The structure in extended XYZ format:
```
12
Lattice="-4.701 4.701 6.425 4.701 -4.701 6.425 4.701 4.701 -6.425" Properties=species:S:1:pos:R:3 pbc="T T T"
Ac 3.480 3.480 -3.311
Ac 2.312 2.312 -0.156
Ac 2.390 -2.390 6.582
Ac 1.221 1.221 3.114
Ac 1.221 -1.221 9.737
Ac 2.390 2.390 6.269
Ac -2.390 2.390 6.582
Ac -1.221 1.221 9.737
La 4.701 0.000 3.213
La 0.000 0.000 6.425
La 0.000 4.701 3.213
Ho 0.000 0.000 0.000
```

Entry 2:
RbAcSb2 | PBE-GGA | relaxed

## Properties
Spin magnetization   0.0 μB/cell
Relative energy among the computed polymorphs   18.05 kJ/mol of atoms

The structure in extended XYZ format:
```
4
Lattice="5.516 0.000 0.000 0.000 5.516 0.000 0.000 0.000 4.610" Properties=species:S:1:pos:R:3 pbc="T T T"
Rb 0.000 0.000 0.000
Ac 2.758 2.758 0.000
Sb 0.000 2.758 2.305
Sb 2.758 0.000 2.305
```

Entry 3:
AcLaGdAl | PBE-GGA | relaxed

## Properties
Spin magnetization   31.0 μB/cell
ΔE_f   -0.028 eV per atom

The structure in extended XYZ format:
```
16
Lattice="8.005 0.000 0.000 0.000 8.005 0.000 0.000 0.000 8.005" Properties=species:S:1:pos:R:3 pbc="T T T"
Ac 0.000 0.000 0.000
Ac 0.000 4.002 4.002
Ac 4.002 0.000 4.002
Ac 4.002 4.002 0.000
La 0.000 0.000 4.002
La 0.000 4.002 0.000
La 4.002 0.000 0.000
La 4.002 4.002 4.002
Gd 2.001 2.001 6.003
Gd 2.001 6.003 2.001
Gd 6.003 2.001 2.001
Gd 6.003 6.003 6.003
Al 2.001 2.001 2.001
Al 2.001 6.003 6.003
Al 6.003 2.001 6.003
Al 6.003 6.003 2.001
```

Entry 4:
Ac3Nd2Hg2 | PBE-GGA | relaxed

## Properties
Spin magnetization   0.0 μB/cell
ΔE_f   -0.170 eV per atom

The structure in extended XYZ format:
```
14
Lattice="3.904 0.000 0.000 0.000 33.667 0.000 0.000 0.000 3.871" Properties=species:S:1:pos:R:3 pbc="T T T"
Ac 0.000 0.000 0.000
Ac 0.000 4.294 0.000
Ac 0.000 29.373 0.000
Ac 1.952 12.539 0.000
Ac 1.952 16.834 0.000
Ac 1.952 21.128 0.000
Nd 0.000 9.884 1.936
Nd 0.000 23.783 1.936
Nd 1.952 6.950 1.936
Nd 1.952 26.718 1.936
Hg 0.000 14.676 1.936
Hg 0.000 18.991 1.936
Hg 1.952 2.157 1.936
Hg 1.952 31.510 1.936
```

What is the spin magnetization in the second record? 0.0 μB/cell